A relaxed structure of Ba2CaCuMo2F14. Source: the Alexandria database, functional PBE+U.

Output
VASP energy in eV per cell: -443.7

a = 14.359 Å, b = 5.535 Å, c = 15.529 Å
α = 90.00°, β = 90.29°, γ = 90.00°
Space group C2/c (No. 15)
Inequivalent atoms, fractional coordinates:
Ba 0.183 0.090 0.125 (multiplicity 8)
Ca 0.000 0.417 0.750 (multiplicity 4)
Cu 0.000 0.500 0.000 (multiplicity 4)
Mo 0.122 0.035 0.375 (multiplicity 8)
F 0.012 0.087 0.657 (multiplicity 8)
F 0.042 0.427 0.114 (multiplicity 8)
F 0.083 0.224 0.489 (multiplicity 8)
F 0.116 0.306 0.280 (multiplicity 8)
F 0.147 0.254 0.960 (multiplicity 8)
F 0.164 0.194 0.775 (multiplicity 8)
F 0.241 0.370 0.602 (multiplicity 8)